Computed, not measured: crystalline AcNd4 at its relaxed geometry at the PBE level of DFT.

Cell: 6.087 6.087 6.087 Å, 90.00 90.00 90.00°
Element x y z (fractional)
Ac 0.500 0.500 0.500
Nd 0.000 0.000 0.000
Nd 0.500 0.000 0.500
Nd 0.000 0.500 0.500
Nd 0.500 0.500 0.000

Calculated values
* raw total energy: -18.9 eV for the cell shown
* volume: 225 Å³/f.u.
* SG: Pm-3m (221)
* Fermi-level density of states: 10.5 states/eV per cell
* mass density: 5921 kg/m³
* energy relative to the lowest polymorph listed for this composition: 4.141 eV/f.u.
* M_tot: 0.07 μB/atom
* energy of formation from the pure elements: 0.855 eV/atom

Computed, not measured: crystalline Ca2Al3Ag at its relaxed geometry at the PBE level of DFT.

Cell: 5.697 5.697 9.140 Å, 90.00 90.00 120.00°
Element x y z (fractional)
Ca 0.667 0.333 0.436
Ca 0.333 0.667 0.564
Ca 0.333 0.667 0.936
Ca 0.667 0.333 0.064
Al 0.169 0.338 0.250
Al 0.338 0.169 0.750
Al 0.831 0.662 0.750
Al 0.169 0.831 0.250
Al 0.831 0.169 0.750
Al 0.662 0.831 0.250
Ag 0.000 0.000 0.500
Ag 0.000 0.000 0.000

Calculated values
* raw total energy: -40.3 eV for the cell shown
* volume: 128 Å³/f.u.
* SG: P6_3/mmc (194)
* Fermi-level density of states: 4.7 states/eV per cell
* mass density: 3476 kg/m³
* M_tot: 0.00 μB/atom
* energy of formation from the pure elements: -0.344 eV/atom

Computed, not measured: crystalline CaCdBr2 at its relaxed geometry at the PBE level of DFT.

Cell: 9.543 9.543 9.543 Å, 26.77 26.77 26.77°
Element x y z (fractional)
Ca 0.000 0.000 0.000
Br 0.900 0.900 0.900
Br 0.100 0.100 0.100
Cd 0.500 0.500 0.500

Calculated values
* formation energy without anion corrections: -630 meV/atom
* raw total energy: -8.8 eV for the cell shown
* volume: 155 Å³/f.u.
* SG: R-3m (166)
* Fermi-level density of states: 4.3 states/eV per cell
* mass density: 3335 kg/m³
* energy relative to the lowest polymorph listed for this composition: 2.979 eV/f.u.
* M_tot: 0.17 μB/atom

Computed, not measured: crystalline SrZrTa2 at its relaxed geometry at the PBE level of DFT.

Cell: 5.335 5.335 6.535 Å, 87.04 87.04 33.62°
Element x y z (fractional)
Sr 0.250 0.250 0.250
Ta 0.011 0.011 0.922
Ta 0.489 0.489 0.578
Zr 0.750 0.750 0.750

Calculated values
* raw total energy: -31.3 eV for the cell shown
* volume: 103 Å³/f.u.
* SG: C2/m (12)
* Fermi-level density of states: 4.4 states/eV per cell
* mass density: 8730 kg/m³
* energy relative to the lowest polymorph listed for this composition: 1.015 eV/f.u.
* M_tot: 0.00 μB/atom
* energy of formation from the pure elements: 0.667 eV/atom

Computed, not measured: crystalline ErGa2Hg at its relaxed geometry at the PBE level of DFT.

Cell: 4.437 4.437 5.672 Å, 66.98 66.98 60.00°
Element x y z (fractional)
Hg 0.500 0.500 0.500
Ga 0.768 0.768 0.696
Ga 0.232 0.232 0.304
Er 0.000 0.000 0.000

Calculated values
* raw total energy: -12.0 eV for the cell shown
* volume: 86 Å³/f.u.
* SG: R-3m (166)
* Fermi-level density of states: 1.4 states/eV per cell
* mass density: 9763 kg/m³
* energy relative to the lowest polymorph listed for this composition: 0.534 eV/f.u.
* M_tot: 0.00 μB/atom
* energy of formation from the pure elements: -0.279 eV/atom

Computed, not measured: crystalline Ba2FeMo at its relaxed geometry at the PBE level of DFT.

Cell: 10.394 10.394 10.394 Å, 19.91 19.91 19.91°
Element x y z (fractional)
Ba 0.000 0.000 0.000
Ba 0.500 0.500 0.500
Fe 0.250 0.250 0.250
Mo 0.750 0.750 0.750

Calculated values
* raw total energy: -17.5 eV for the cell shown
* volume: 114 Å³/f.u.
* SG: R-3m (166)
* Fermi-level density of states: 4.4 states/eV per cell
* mass density: 6215 kg/m³
* energy relative to the lowest polymorph listed for this composition: 2.906 eV/f.u.
* M_tot: 1.13 μB/atom
* energy of formation from the pure elements: 1.409 eV/atom

Computed, not measured: crystalline NiSnBi2 at its relaxed geometry at the PBE level of DFT.

Cell: 6.335 6.335 7.875 Å, 66.28 66.28 90.00°
Element x y z (fractional)
Ni 0.500 0.500 0.000
Ni 0.250 0.750 0.500
Bi 0.561 0.125 0.250
Bi 0.189 0.625 0.250
Bi 0.375 0.439 0.750
Bi 0.875 0.811 0.750
Sn 0.000 0.000 0.000
Sn 0.750 0.250 0.500

Calculated values
* raw total energy: -33.5 eV for the cell shown
* volume: 130 Å³/f.u.
* SG: I-42d (122)
* Fermi-level density of states: 3.3 states/eV per cell
* mass density: 7606 kg/m³
* M_tot: 0.00 μB/atom
* energy of formation from the pure elements: 0.200 eV/atom

Computed, not measured: crystalline Ba2NaTlO at its relaxed geometry at the PBE level of DFT.

Cell: 5.596 5.596 4.850 Å, 90.00 90.00 90.00°
Element x y z (fractional)
Na 0.000 0.000 0.500
Tl 0.500 0.500 0.500
Ba 0.000 0.500 0.000
Ba 0.500 0.000 0.000
O 0.000 0.000 0.000

Calculated values
* formation energy without anion corrections: -1039 meV/atom
* raw total energy: -17.7 eV for the cell shown
* volume: 152 Å³/f.u.
* SG: P4/mmm (123)
* Fermi-level density of states: 4.7 states/eV per cell
* mass density: 5665 kg/m³
* M_tot: 0.00 μB/atom